First-principles (PBE with a Hubbard U) data for crystalline NbCoPO2 at its relaxed geometry, as listed in Alexandria.

CIF file:
```
data_NbCoPO2
_chemical_formula_sum 'Nb1 Co1 P1 O2'
_space_group_name_H-M_alt 'P 1'
_space_group_IT_number 1
_cell_length_a 3.6912
_cell_length_b 3.6912
_cell_length_c 4.3876
_cell_angle_alpha 90.00
_cell_angle_beta 90.00
_cell_angle_gamma 90.00
loop_
_space_group_symop_operation_xyz
'x,y,z'
loop_
_atom_site_label
_atom_site_type_symbol
_atom_site_fract_x
_atom_site_fract_y
_atom_site_fract_z
Nb1 Nb 0.0000 0.0000 0.0000
Co1 Co 0.5000 0.5000 0.5000
P1 P 0.5000 0.5000 0.0000
O1 O 0.0000 0.5000 0.5000
O2 O 0.5000 0.0000 0.5000
```

SG ... No. 123
Calculated total energy ... -0.4634 Ry per atom
Calculated density ... 6.0 g/cm3